(1)
This record from Alexandria describes a geometry-optimized LaTa2AsPb structure. The functional is PBE-GGA.

abc: 4.861 4.861 5.706
angles: 90.00 90.00 90.00
Positions (direct):
La  0.000  0.000  0.000
Ta  0.000  0.500  0.500
Ta  0.500  0.000  0.500
As  0.500  0.500  0.500
Pb  0.500  0.500  0.000

Calculated values
* total DFT energy (no corrections): -6.88 eV per atom
* crystal system: tetragonal

(2)
This record from Alexandria describes a geometry-optimized La6Te3AsPb2 structure. The functional is PBE-GGA.

abc: 10.269 10.269 9.199
angles: 102.84 102.84 25.87
Positions (direct):
La  0.001  0.001  0.232
La  0.333  0.333  0.421
La  0.341  0.341  0.918
La  0.659  0.659  0.082
La  0.667  0.667  0.579
La  0.999  0.999  0.768
Te  0.168  0.168  0.833
Te  0.500  0.500  0.500
Te  0.832  0.832  0.167
As  0.500  0.500  0.000
Pb  0.165  0.165  0.330
Pb  0.835  0.835  0.670

Calculated values
* raw formation energy: -1.2883 eV per atom
* crystal system: monoclinic

(3)
This record from Alexandria describes a geometry-optimized La4Te2AsPb structure. The functional is PBE-GGA.

abc: 7.898 4.562 7.932
angles: 90.00 109.39 90.00
Positions (direct):
La  0.236  0.000  0.230
La  0.246  0.500  0.762
La  0.754  0.500  0.238
La  0.764  0.000  0.770
Te  0.000  0.000  0.500
Te  0.500  0.500  0.500
As  0.000  0.500  0.000
Pb  0.500  0.000  0.000

Calculated values
* raw formation energy: -1.3736 eV per atom
* crystal system: monoclinic

(4)
This record from Alexandria describes a geometry-optimized La8Te4As3Pb structure. The functional is PBE-GGA.

abc: 9.095 9.095 9.095
angles: 59.35 59.35 59.35
Positions (direct):
La  0.235  0.748  0.748
La  0.241  0.241  0.241
La  0.252  0.252  0.765
La  0.252  0.765  0.252
La  0.748  0.235  0.748
La  0.748  0.748  0.235
La  0.759  0.759  0.759
La  0.765  0.252  0.252
Te  0.000  0.000  0.000
Te  0.000  0.500  0.500
Te  0.500  0.000  0.500
Te  0.500  0.500  0.000
As  0.000  0.000  0.500
As  0.000  0.500  0.000
As  0.500  0.000  0.000
Pb  0.500  0.500  0.500

Calculated values
* raw formation energy: -1.5070 eV per atom
* crystal system: trigonal

V for every record listed, in sequence, given in Å³ per cell: 134.8 412.0 269.6 524.1.
Density for every record listed, in sequence, given in g/cm³: 9.6 6.9 6.7 6.5.